# 1
{
  "formula": "Fe2AsPb",
  "functional": "PBE",
  "state": "relaxed",
  "e_above_lowest_polymorph_mev_per_atom": 58,
  "total_energy_ev_per_cell": -24.44,
  "formation_enthalpy_0k_ev_per_atom": 0.211,
  "sg": "Cm, No. 8",
  "lattice_angstrom": [[4.0177, -1.6013, 0.0000], [4.0177, 1.6013, 0.0000], [-1.6997, 0.0000, 6.0628]],
  "species": ["Fe", "Fe", "As", "Pb"],
  "fractional_positions": [[0.0000, 0.0000, 0.0000], [0.7332, 0.7332, 0.1517], [0.4739, 0.4739, 0.2847], [0.2239, 0.2239, 0.7386]]
}

=====

# 2
{
  "formula": "La5Y2Ho12",
  "functional": "PBE",
  "state": "relaxed",
  "total_energy_ev_per_cell": -90.48,
  "formation_enthalpy_0k_ev_per_atom": 0.106,
  "sg": "P-1, No. 2",
  "lattice_angstrom": [[6.7678, 0.0000, 0.0000], [1.6973, 6.8244, 0.0000], [2.5132, -0.5630, 13.7300]],
  "species": ["La", "La", "La", "La", "La", "Y", "Y", "Ho", "Ho", "Ho", "Ho", "Ho", "Ho", "Ho", "Ho", "Ho", "Ho", "Ho", "Ho"],
  "fractional_positions": [[0.0000, 0.0000, 0.0000], [0.2595, 0.9340, 0.4820], [0.4160, 0.8870, 0.1127], [0.5840, 0.1130, 0.8873], [0.7405, 0.0660, 0.5180], [0.2621, 0.4329, 0.4857], [0.7379, 0.5671, 0.5143], [0.0346, 0.7300, 0.2950], [0.0571, 0.2426, 0.2982], [0.1354, 0.4962, 0.8949], [0.3903, 0.3978, 0.1075], [0.3906, 0.8956, 0.7214], [0.4404, 0.3973, 0.6960], [0.5596, 0.6027, 0.3040], [0.6094, 0.1044, 0.2786], [0.6097, 0.6022, 0.8925], [0.8646, 0.5038, 0.1051], [0.9429, 0.7574, 0.7018], [0.9654, 0.2700, 0.7050]]
}

=====

# 3
{
  "formula": "Co2TeSe",
  "functional": "PBE",
  "state": "relaxed",
  "e_above_lowest_polymorph_mev_per_atom": 81,
  "total_energy_ev_per_cell": -20.72,
  "e_form_raw_ev_per_fu": 0.12,
  "sg": "Pm, No. 6",
  "lattice_angstrom": [[3.8816, 0.0000, 0.0000], [0.0000, 4.5457, 0.0000], [-1.2225, 0.0000, 4.0920]],
  "species": ["Co", "Co", "Te", "Se"],
  "fractional_positions": [[0.0000, 0.0000, 0.0000], [0.2421, 0.5000, 0.8021], [0.8745, 0.5000, 0.1941], [0.3860, 0.0000, 0.6789]]
}

=====

# 4
{
  "formula": "Ac2VRh",
  "functional": "PBE",
  "state": "relaxed",
  "total_energy_ev_per_cell": -22.96,
  "formation_enthalpy_0k_ev_per_atom": 0.433,
  "sg": "R-3m, No. 166",
  "lattice_angstrom": [[2.0300, 1.1720, 9.8627], [-2.0300, 1.1720, 9.8627], [0.0000, -2.3441, 9.8627]],
  "species": ["Ac", "Ac", "V", "Rh"],
  "fractional_positions": [[0.1073, 0.1073, 0.1073], [0.8927, 0.8927, 0.8927], [0.0000, 0.0000, 0.0000], [0.5000, 0.5000, 0.5000]]
}

=====

# 5
{
  "formula": "Te2P6Os",
  "functional": "PBE",
  "state": "relaxed",
  "total_energy_ev_per_cell": -45.88,
  "e_form_raw_ev_per_fu": 4.09,
  "sg": "P-62m, No. 189",
  "lattice_angstrom": [[7.2739, 0.0000, 0.0000], [-3.6370, 6.2994, 0.0000], [0.0000, 0.0000, 3.8134]],
  "species": ["Te", "Te", "P", "P", "P", "P", "P", "P", "Os"],
  "fractional_positions": [[0.3333, 0.6667, 0.0000], [0.6667, 0.3333, 0.0000], [0.0000, 0.2225, 0.0000], [0.0000, 0.6586, 0.5000], [0.2225, 0.0000, 0.0000], [0.3414, 0.3414, 0.5000], [0.6586, 0.0000, 0.5000], [0.7775, 0.7775, 0.0000], [0.0000, 0.0000, 0.5000]]
}

=====

# 6
{
  "formula": "Fe2Pt2Rh15",
  "functional": "PBE",
  "state": "relaxed",
  "total_energy_ev_per_cell": -132.60,
  "formation_enthalpy_0k_ev_per_atom": 0.351,
  "sg": "R-3m, No. 166",
  "lattice_angstrom": [[4.3599, 2.5172, 4.4877], [-4.3599, 2.5172, 4.4877], [0.0000, -5.0344, 4.4877]],
  "species": ["Fe", "Fe", "Pt", "Pt", "Rh", "Rh", "Rh", "Rh", "Rh", "Rh", "Rh", "Rh", "Rh", "Rh", "Rh", "Rh", "Rh", "Rh", "Rh"],
  "fractional_positions": [[0.0899, 0.0899, 0.0899], [0.9101, 0.9101, 0.9101], [0.2834, 0.2834, 0.2834], [0.7166, 0.7166, 0.7166], [0.0000, 0.0000, 0.5000], [0.0000, 0.3128, 0.6872], [0.0000, 0.5000, 0.0000], [0.0000, 0.6872, 0.3128], [0.1581, 0.6516, 0.6516], [0.3128, 0.0000, 0.6872], [0.3128, 0.6872, 0.0000], [0.3484, 0.3484, 0.8419], [0.3484, 0.8419, 0.3484], [0.5000, 0.0000, 0.0000], [0.6516, 0.1581, 0.6516], [0.6516, 0.6516, 0.1581], [0.6872, 0.0000, 0.3128], [0.6872, 0.3128, 0.0000], [0.8419, 0.3484, 0.3484]]
}

=====

Number 5 is which compound? Te2P6Os